VASP calculation (GGA-PBE) on Tl2ZnOs after structural relaxation.

Cell lengths 3.639, 3.639, 5.909 Å; angles 90.00, 90.00, 90.00 degrees
Positions (direct):
Tl (0.000, 0.000, 0.248)
Tl (0.000, 0.000, 0.752)
Zn (0.500, 0.500, 0.500)
Os (0.500, 0.500, 0.000)

Energy of formation from the pure elements in eV per atom: 0.768
Excess energy over the best structure of this formula in the dataset in meV per atom: 236
Space-group type: P4/mmm
Crystal system: tetragonal



VASP calculation (GGA-PBE) on Tl2TcCl4O2 after structural relaxation.

Cell lengths 6.734, 6.734, 6.217 Å; angles 107.60, 107.60, 64.12 degrees
Positions (direct):
Tl (0.204, 0.204, 0.276)
Tl (0.796, 0.796, 0.724)
Tc (0.500, 0.500, 0.000)
Cl (0.180, 0.662, 0.185)
Cl (0.338, 0.820, 0.815)
Cl (0.662, 0.180, 0.185)
Cl (0.820, 0.338, 0.815)
O (0.356, 0.356, 0.762)
O (0.644, 0.644, 0.238)

Uncorrected formation energy in eV/atom: -0.919
Space-group type: C2/m
Crystal system: monoclinic



VASP calculation (GGA-PBE) on PmBeZnPt3 after structural relaxation.

Cell lengths 6.727, 6.727, 5.575 Å; angles 90.00, 90.00, 118.02 degrees
Positions (direct):
Pm (0.206, 0.794, 0.750)
Pm (0.794, 0.206, 0.250)
Be (0.110, 0.890, 0.250)
Be (0.890, 0.110, 0.750)
Zn (0.476, 0.524, 0.750)
Zn (0.524, 0.476, 0.250)
Pt (0.200, 0.200, 0.000)
Pt (0.200, 0.200, 0.500)
Pt (0.301, 0.699, 0.250)
Pt (0.699, 0.301, 0.750)
Pt (0.800, 0.800, 0.000)
Pt (0.800, 0.800, 0.500)

Energy of formation from the pure elements in eV per atom: -0.630
Space-group type: Cmcm
Crystal system: orthorhombic



VASP calculation (GGA-PBE) on LaNd6Ni3 after structural relaxation.

Cell lengths 8.822, 8.822, 7.235 Å; angles 90.00, 90.00, 98.72 degrees
Positions (direct):
La (0.176, 0.824, 0.500)
La (0.824, 0.176, 0.000)
Nd (0.085, 0.466, 0.730)
Nd (0.127, 0.211, 0.380)
Nd (0.211, 0.127, 0.880)
Nd (0.273, 0.727, 0.039)
Nd (0.466, 0.085, 0.230)
Nd (0.468, 0.532, 0.383)
Nd (0.532, 0.468, 0.883)
Nd (0.534, 0.915, 0.730)
Nd (0.727, 0.273, 0.539)
Nd (0.789, 0.873, 0.380)
Nd (0.873, 0.789, 0.880)
Nd (0.915, 0.534, 0.230)
Ni (0.079, 0.921, 0.179)
Ni (0.209, 0.410, 0.090)
Ni (0.410, 0.209, 0.590)
Ni (0.590, 0.791, 0.090)
Ni (0.791, 0.590, 0.590)
Ni (0.921, 0.079, 0.679)

Energy of formation from the pure elements in eV per atom: -0.146
Space-group type: Cmc2_1
Crystal system: orthorhombic



VASP calculation (GGA-PBE) on LiTaGa2 after structural relaxation.

Cell lengths 4.510, 4.510, 4.510 Å; angles 60.00, 60.00, 60.00 degrees
Positions (direct):
Li (0.000, 0.000, 0.000)
Ta (0.500, 0.500, 0.500)
Ga (0.250, 0.250, 0.250)
Ga (0.750, 0.750, 0.750)

Energy of formation from the pure elements in eV per atom: 0.050
Excess energy over the best structure of this formula in the dataset in meV per atom: 267
Space-group type: Fm-3m
Crystal system: cubic



VASP calculation (GGA-PBE) on Na8CdIn3 after structural relaxation.

Cell lengths 7.993, 7.993, 6.194 Å; angles 112.34, 112.34, 85.23 degrees
Positions (direct):
Na (0.000, 0.000, 0.000)
Na (0.180, 0.180, 0.674)
Na (0.255, 0.753, 0.321)
Na (0.433, 0.936, 0.002)
Na (0.501, 0.501, 0.998)
Na (0.682, 0.682, 0.685)
Na (0.753, 0.255, 0.321)
Na (0.936, 0.433, 0.002)
Cd (0.342, 0.342, 0.371)
In (0.096, 0.593, 0.634)
In (0.593, 0.096, 0.634)
In (0.841, 0.841, 0.365)

Energy of formation from the pure elements in eV per atom: -0.080
Space-group type: Cm
Crystal system: monoclinic